Record 1
A relaxed structure of AlCdFe2. Source: Alexandria via LeMat-Bulk, functional GGA-PBEsol.

Output
Its formation enthalpy at 0 K is 0.173 eV/atom. As for the relative energy among the computed polymorphs: 0.122 eV/atom.

abc: 2.7273 2.7273 8.7800
angles: 81.06 81.06 60.00
With the nearest neighbours (Å) after each atom.
Fractional coordinates of all 4 atoms:
Al: 0.5000 0.5000 0.5000  6 Fe 2.55, 6 Al 2.73
Fe: 0.2443 0.2443 0.2671  3 Al 2.55, 6 Fe 2.73, 3 Cd 2.79
Fe: 0.7557 0.7557 0.7329  3 Al 2.55, 6 Fe 2.73, 3 Cd 2.79
Cd: 0.0000 0.0000 0.0000  6 Cd 2.73, 6 Fe 2.79

Record 2
A relaxed structure of BeFeRu2. Source: Alexandria via LeMat-Bulk, functional GGA-PBEsol.

Output
Its formation enthalpy at 0 K is 0.290 eV/atom.

abc: 2.5533 2.5533 8.0794
angles: 90.00 90.00 115.51
With the nearest neighbours (Å) after each atom.
Fractional coordinates of all 4 atoms:
Ru: 0.0000 0.0000 0.0099  2 Fe 2.50, 8 Ru 2.55-2.72
Ru: 0.5000 0.5000 0.7265  2 Be 2.32, 4 Ru 2.55
Fe: 0.5000 0.5000 0.2697  2 Be 2.27, 2 Ru 2.50
Be: 0.0000 0.0000 0.4939  2 Fe 2.27, 2 Ru 2.32

Record 3
A relaxed structure of AgTe2. Source: Alexandria via LeMat-Bulk, functional GGA-PBEsol.

Output
For the uncorrected formation energy, the calculation gives 0.34 eV/atom.

abc: 3.0588 5.3765 5.3765
angles: 120.00 90.00 90.00
With the nearest neighbours (Å) after each atom.
Fractional coordinates of all 3 atoms:
Te: 0.5000 0.6667 0.3333  5 Te 3.06-3.10
Te: 0.5000 0.3333 0.6667  5 Te 3.06-3.10
Ag: 0.0000 0.0000 0.0000  2 Ag 3.06

Record 4
A relaxed structure of KNb3Ir. Source: Alexandria via LeMat-Bulk, functional GGA-PBEsol.

Output
Its formation enthalpy at 0 K is 1.193 eV/atom.

abc: 4.9583 4.9583 4.9583
angles: 90.00 90.00 90.00
With the nearest neighbours (Å) after each atom.
Fractional coordinates of all 5 atoms:
Nb: 0.0000 0.5000 0.0000  2 Ir 2.48
Nb: 0.0000 0.0000 0.5000  2 Ir 2.48
Nb: 0.5000 0.0000 0.0000  2 Ir 2.48
Ir: 0.0000 0.0000 0.0000  6 Nb 2.48
K: 0.5000 0.5000 0.5000  12 Nb 3.51

Record 5
A relaxed structure of Ca2InCu. Source: Alexandria via LeMat-Bulk, functional GGA-PBEsol.

Output
Its formation enthalpy at 0 K is -0.237 eV/atom.

abc: 3.5462 3.5470 7.7252
angles: 90.00 90.03 90.00
With the nearest neighbours (Å) after each atom.
Fractional coordinates of all 4 atoms:
Ca: 0.0001 0.0000 0.7758  4 Cu 3.05, 4 In 3.29
Ca: 0.9999 0.0000 0.2242  4 Cu 3.05, 4 In 3.29
Cu: 0.5000 0.5000 0.0000  8 Ca 3.05
In: 0.5000 0.5000 0.5000  8 Ca 3.29, 4 In 3.55

Record 6
A relaxed structure of Zr2HgCl. Source: Alexandria via LeMat-Bulk, functional GGA-PBEsol.

Output
For the uncorrected formation energy, the calculation gives -0.57 eV/atom. As for the relative energy among the computed polymorphs: 0.000 eV/atom.

abc: 3.3094 3.3094 9.7878
angles: 80.27 80.27 60.00
With the nearest neighbours (Å) after each atom.
Fractional coordinates of all 4 atoms:
Hg: 0.2576 0.2576 0.2273  3 Zr 3.01, 6 Hg 3.31
Zr: 0.0050 0.0050 0.9849  3 Hg 3.01, 9 Zr 3.06-3.31
Zr: 0.7546 0.7546 0.7361  3 Cl 2.60
Cl: 0.4828 0.4828 0.5516  3 Zr 2.60